No. 1
SrSm2UN4 PBE optimized geometry; uncorrected formation energy = -1279 meV per atom
1.0
-0.845 5.851 -4.022
3.387 -3.201 -5.422
-5.680 -3.118 2.986
Sr Sm U N
2 4 2 8
direct
0.000 0.500 0.000
0.000 0.500 0.500
0.500 0.000 0.000
0.500 0.000 0.500
0.000 0.000 0.500
0.500 0.500 0.000
0.500 0.500 0.500
0.000 0.000 0.000
0.230 0.796 0.013
0.704 0.270 0.487
0.296 0.730 0.513
0.770 0.204 0.987
0.744 0.756 0.981
0.744 0.756 0.519
0.256 0.244 0.481
0.256 0.244 0.019

***

No. 2
SrSm2VN4 PBE optimized geometry; uncorrected formation energy = -1214 meV per atom
1.0
3.497 0.000 0.000
-1.749 6.096 0.000
0.000 0.000 12.078
Sr Sm V N
2 4 2 8
direct
0.093 0.186 0.750
0.907 0.814 0.250
0.370 0.740 0.541
0.630 0.260 0.041
0.630 0.260 0.459
0.370 0.740 0.959
0.823 0.646 0.750
0.177 0.354 0.250
0.261 0.522 0.128
0.739 0.478 0.628
0.739 0.478 0.872
0.261 0.522 0.372
0.000 0.000 0.500
0.000 0.000 0.000
0.402 0.803 0.750
0.598 0.197 0.250

***

No. 3
Sr2SmWN4 PBE optimized geometry; uncorrected formation energy = -971 meV per atom
1.0
-2.670 -3.955 3.026
5.942 -1.294 3.551
-1.970 5.343 5.244
Sr Sm W N
4 2 2 8
direct
0.469 0.341 0.247
0.469 0.341 0.753
0.969 0.659 0.747
0.969 0.659 0.253
0.979 0.156 0.500
0.479 0.844 0.000
0.503 0.846 0.500
0.003 0.154 0.000
0.334 0.142 0.000
0.834 0.858 0.500
0.395 0.104 0.500
0.895 0.896 0.000
0.426 0.715 0.708
0.926 0.285 0.208
0.926 0.285 0.792
0.426 0.715 0.292

***

No. 4
SmTaN PBE optimized geometry; uncorrected formation energy = -271 meV per atom
1.0
-2.362 -1.056 -1.874
1.654 -2.008 1.770
-7.668 1.468 8.834
N Sm Ta
2 2 2
direct
0.576 0.152 0.000
0.312 0.623 0.500
0.648 0.296 0.366
0.648 0.296 0.634
0.241 0.483 0.882
0.241 0.483 0.118

***

No. 5
Sm5TaN6 PBE optimized geometry; uncorrected formation energy = -1424 meV per atom
1.0
6.022 0.173 0.000
1.858 5.758 0.000
0.929 2.879 5.230
Sm Ta N
5 1 6
direct
0.500 0.165 0.669
0.000 0.333 0.334
0.500 0.500 0.000
0.000 0.667 0.666
0.500 0.835 0.331
0.000 0.000 0.000
0.773 0.076 0.300
0.227 0.624 0.300
0.233 0.225 0.000
0.767 0.775 0.000
0.773 0.376 0.700
0.227 0.924 0.700

***

No. 6
Sm2TaN3 PBE optimized geometry; E above lowest polymorph = 0.50 eV per formula unit; uncorrected formation energy = -1224 meV per atom
1.0
5.683 -0.318 -0.226
0.339 5.871 0.247
0.339 2.151 5.468
Sm Ta N
4 2 6
direct
0.750 0.166 0.488
0.250 0.488 0.166
0.750 0.512 0.834
0.250 0.834 0.512
0.750 0.901 0.099
0.250 0.099 0.901
0.250 0.398 0.602
0.750 0.602 0.398
0.000 0.847 0.847
0.500 0.153 0.153
0.500 0.847 0.847
0.000 0.153 0.153

***

Number 1: calculated volume 16.19 A^3/atom, total energy -131.9 eV/cell. Number 2: calculated volume 16.09 A^3/atom, total energy -126.5 eV/cell. Number 3: calculated volume 19.25 A^3/atom, total energy -124.2 eV/cell. Number 4: calculated volume 17.02 A^3/atom, total energy -51.4 eV/cell. Number 5: calculated volume 14.97 A^3/atom, total energy -102.5 eV/cell. Number 6: calculated volume 15.02 A^3/atom, total energy -107.2 eV/cell.